Compound: AlCu4Pd7
Source: the Alexandria database
Functional: PBE
Structure: relaxed

a b c (Å): 11.896 4.522 8.944
angles (deg): 90.00 128.26 90.00
Space group C2/m (No. 12)
Symmetry-distinct sites (fractional):
Al (0.000, 0.000, 0.000) x2
Cu (0.066, 0.500, 0.780) x4
Cu (0.203, 0.500, 0.349) x4
Pd (0.000, 0.500, 0.000) x2
Pd (0.068, 0.000, 0.317) x4
Pd (0.155, 0.500, 0.593) x4
Pd (0.218, 0.000, 0.865) x4

## Properties
**Energy above the lowest structure with this stoichiometry**: 275 meV per atom
**M_tot**: 0.00 Bohr magnetons per cell
**DFT formation energy**: 0.013 eV/atom
**Crystal system**: monoclinic

***

Compound: VIn2PdS
Source: the Alexandria database
Functional: PBE
Structure: relaxed

a b c (Å): 5.325 5.325 4.597
angles (deg): 90.00 90.00 90.00
Space group P4/mmm (No. 123)
Symmetry-distinct sites (fractional):
V (0.000, 0.000, 0.000) x1
In (0.000, 0.500, 0.000) x2
Pd (0.000, 0.000, 0.500) x1
S (0.500, 0.500, 0.500) x1

## Properties
**M_tot**: 3.09 Bohr magnetons per cell
**Crystal system**: tetragonal
**Raw formation energy**: 0.732 eV/atom

***

Compound: CeLuGeAu
Source: the Alexandria database
Functional: PBE
Structure: relaxed

a b c (Å): 7.217 7.217 7.217
angles (deg): 90.00 90.00 90.00
Space group F-43m (No. 216)
Symmetry-distinct sites (fractional):
Ce (0.000, 0.000, 0.000) x4
Lu (0.000, 0.000, 0.500) x4
Ge (0.250, 0.250, 0.750) x4
Au (0.250, 0.250, 0.250) x4

## Properties
**M_tot**: 5.64 Bohr magnetons per cell
**DFT formation energy**: -0.658 eV/atom
**Crystal system**: cubic

***

Compound: Tl2Ga3SbAu12
Source: the Alexandria database
Functional: PBE
Structure: relaxed

a b c (Å): 7.2914 7.2914 26.5691
angles (deg): 90.00 90.00 120.00
Space group R-3m (No. 166, hexagonal axes)
Symmetry-distinct sites (fractional):
Tl (0.0000, 0.0000, 0.1446) x6
Ga (0.0000, 0.5000, 0.0000) x9
Sb (0.0000, 0.0000, 0.5000) x3
Au (0.0115, 0.5058, 0.8961) x18
Au (0.0691, 0.5346, 0.6216) x18

## Properties
**M_tot**: 0.00 Bohr magnetons per cell
**Crystal system**: trigonal
**Raw formation energy**: 0.024 eV/atom

***

Final energy (eV/atom)
-4.694, -4.051, -5.245, -3.157